(1)
Computed, not measured: a relaxed TiGaSi crystal at the GGA-PBE level of DFT.

Results
Crystal system: trigonal
Fermi-level density of states in states/eV/cell: 2.4
Uncorrected formation energy in eV/atom: -0.180
Space-group type: R3m
E above lowest polymorph in kcal/mol of atoms: 7.34

a = 3.9147 Å, b = 3.9151 Å, c = 7.8884 Å
α = 75.59°, β = 75.59°, γ = 59.98°
Last column: nearest neighbours and their distance in Å.
Atoms (fractional coordinates):
Ti: 0.4553 0.0762 0.7141  6 Si 2.69-2.71, 4 Ga 2.87-2.89, 1 Ti 2.96
Ti: 0.5865 0.2074 0.3222  6 Si 2.70-2.72, 3 Ga 2.84-2.85, 1 Ti 2.96
Si: 0.8546 0.4755 0.5174  3 Si 2.26
Ga: 0.0427 0.6634 0.9515  3 Ga 2.50-2.51
Si: 0.1864 0.8073 0.5214  3 Si 2.26
Ga: 0.3283 0.9492 0.0945  3 Ga 2.50-2.51

***

(2)
Computed, not measured: a relaxed TiGaSi crystal at the GGA-PBE level of DFT.

Results
Crystal system: orthorhombic
Fermi-level density of states in states/eV/cell: 3.7
Uncorrected formation energy in eV/atom: -0.499
Space-group type: Cmcm
E above lowest polymorph in kcal/mol of atoms: 0.00

a = 3.6394 Å, b = 3.6689 Å, c = 7.0756 Å
α = 105.03°, β = 90.00°, γ = 90.00°
Last column: nearest neighbours and their distance in Å.
Atoms (fractional coordinates):
Ga: 0.2500 0.7532 0.5064  4 Ga 2.59, 4 Ti 2.80-2.87
Ti: 0.2500 0.0914 0.1828  6 Si 2.61-2.79, 4 Ga 2.80-2.87
Ga: 0.7500 0.2468 0.4936  4 Ga 2.59, 4 Ti 2.80-2.87
Si: 0.2500 0.4377 0.8753  2 Si 2.49, 6 Ti 2.61-2.79
Si: 0.7500 0.5623 0.1247  2 Si 2.49, 6 Ti 2.61-2.79
Ti: 0.7500 0.9086 0.8172  6 Si 2.61-2.79, 4 Ga 2.80-2.87